# 1
First-principles (SCAN) data for a crystal of Sr2GaTeCl relaxed with PBEsol, as listed in Alexandria via LeMat-Bulk.

Properties
space group = P4/mmm (123)
formation energy (no corrections) = -401.1 meV per atom

Unit cell a=5.363 b=6.249 c=6.249 alpha=90.00 beta=90.00 gamma=90.00
Last column: magnetic moment on the atom in μB.
Atoms (fractional coordinates):
Te: 0.000 0.000 0.000  0.00
Sr: 0.000 0.500 0.000  0.04
Sr: 0.000 0.000 0.500  0.04
Ga: 0.500 0.500 0.500  0.24
Cl: 0.500 0.000 0.000  0.02

=====

# 2
First-principles (SCAN) data for a crystal of Ga2TcCl relaxed with PBEsol, as listed in Alexandria via LeMat-Bulk.

Properties
space group = Fm-3m (225)
formation energy (no corrections) = 676.0 meV per atom

Unit cell a=4.582 b=4.582 c=4.582 alpha=60.00 beta=60.00 gamma=60.00
Last column: magnetic moment on the atom in μB.
Atoms (fractional coordinates):
Ga: 0.750 0.750 0.750  -0.02
Ga: 0.250 0.250 0.250  -0.02
Tc: 0.500 0.500 0.500  2.08
Cl: 0.000 0.000 0.000  0.14

=====

# 3
First-principles (SCAN) data for a crystal of GaTeCl relaxed with PBEsol, as listed in Alexandria via LeMat-Bulk.

Properties
space group = Pnnm (58)
formation energy (no corrections) = -770.8 meV per atom

Unit cell a=4.075 b=5.805 c=14.504 alpha=90.00 beta=90.00 gamma=90.00
Atoms (fractional coordinates):
Ga: 0.000 0.019 0.312
Ga: 0.500 0.519 0.188
Ga: 0.000 0.981 0.688
Ga: 0.500 0.481 0.812
Te: 0.500 0.741 0.346
Te: 0.000 0.241 0.154
Te: 0.500 0.259 0.654
Te: 0.000 0.759 0.846
Cl: 0.500 0.768 0.075
Cl: 0.000 0.732 0.575
Cl: 0.500 0.232 0.925
Cl: 0.000 0.268 0.425

=====

# 4
First-principles (SCAN) data for a crystal of Ga3TeCl relaxed with PBEsol, as listed in Alexandria via LeMat-Bulk.

Properties
space group = Pm-3m (221)
formation energy (no corrections) = 363.9 meV per atom

Unit cell a=5.831 b=5.831 c=5.831 alpha=90.00 beta=90.00 gamma=90.00
Atoms (fractional coordinates):
Ga: 0.500 0.000 0.000
Ga: 0.000 0.000 0.500
Ga: 0.000 0.500 0.000
Cl: 0.500 0.500 0.500
Te: 0.000 0.000 0.000

=====

# 5
First-principles (SCAN) data for a crystal of GaTe2Cl relaxed with PBEsol, as listed in Alexandria via LeMat-Bulk.

Properties
space group = Fm-3m (225)
formation energy (no corrections) = 176.0 meV per atom

Unit cell a=5.016 b=5.016 c=5.016 alpha=60.00 beta=60.00 gamma=60.00
Atoms (fractional coordinates):
Cl: 0.000 0.000 0.000
Te: 0.750 0.750 0.750
Te: 0.250 0.250 0.250
Ga: 0.500 0.500 0.500

=====

# 6
First-principles (SCAN) data for a crystal of TiGaCl3 relaxed with PBEsol, as listed in Alexandria via LeMat-Bulk.

Properties
space group = Pm-3m (221)
formation energy (no corrections) = -365.2 meV per atom

Unit cell a=4.931 b=4.931 c=4.931 alpha=90.00 beta=90.00 gamma=90.00
Last column: magnetic moment on the atom in μB.
Atoms (fractional coordinates):
Ga: 0.000 0.000 0.000  0.00
Cl: 0.000 0.500 0.000  -0.01
Cl: 0.500 0.000 0.000  -0.01
Cl: 0.000 0.000 0.500  -0.01
Ti: 0.500 0.500 0.500  2.19

=====

# 7
First-principles (SCAN) data for a crystal of ZrGa3Cl relaxed with PBEsol, as listed in Alexandria via LeMat-Bulk.

Properties
space group = Pm-3m (221)
formation energy (no corrections) = 534.8 meV per atom

Unit cell a=5.296 b=5.296 c=5.296 alpha=90.00 beta=90.00 gamma=90.00
Last column: magnetic moment on the atom in μB.
Atoms (fractional coordinates):
Ga: 0.000 0.000 0.500  0.14
Ga: 0.500 0.000 0.000  0.14
Ga: 0.000 0.500 0.000  0.14
Cl: 0.500 0.500 0.500  0.20
Zr: 0.000 0.000 0.000  0.80

=====

# 8
First-principles (SCAN) data for a crystal of ZrGa3Cl relaxed with PBEsol, as listed in Alexandria via LeMat-Bulk.

Properties
space group = Pm-3m (221)
formation energy (no corrections) = 492.4 meV per atom

Unit cell a=4.734 b=4.734 c=4.734 alpha=90.00 beta=90.00 gamma=90.00
Atoms (fractional coordinates):
Zr: 0.500 0.500 0.500
Ga: 0.000 0.500 0.000
Ga: 0.500 0.000 0.000
Ga: 0.000 0.000 0.500
Cl: 0.000 0.000 0.000

=====

# 9
First-principles (SCAN) data for a crystal of GdH2ClO2 relaxed with PBEsol, as listed in Alexandria via LeMat-Bulk.

Properties
space group = P2_1/m (11)

Unit cell a=3.696 b=6.132 c=6.585 alpha=109.57 beta=90.00 gamma=90.00
Last column: magnetic moment on the atom in μB.
Atoms (fractional coordinates):
Gd: 0.750 0.297 0.123  6.98
Gd: 0.250 0.703 0.877  6.98
Cl: 0.750 0.758 0.559  -0.02
Cl: 0.250 0.242 0.441  -0.02
O: 0.750 0.441 0.836  -0.03
O: 0.250 0.559 0.164  -0.03
O: 0.250 0.101 0.910  -0.03
O: 0.750 0.899 0.090  -0.03
H: 0.750 0.331 0.687  0.00
H: 0.250 0.120 0.767  0.00
H: 0.750 0.880 0.233  0.00
H: 0.250 0.669 0.313  0.00

=====

# 10
First-principles (SCAN) data for a crystal of K3GdCl6 relaxed with PBEsol, as listed in Alexandria via LeMat-Bulk.

Properties
space group = Fm-3m (225)
formation energy (no corrections) = -2254.9 meV per atom

Unit cell a=7.818 b=7.818 c=7.818 alpha=60.00 beta=60.00 gamma=60.00
Last column: magnetic moment on the atom in μB.
Atoms (fractional coordinates):
Cl: 0.763 0.763 0.237  -0.01
Cl: 0.237 0.763 0.763  -0.01
Cl: 0.237 0.763 0.237  -0.01
Cl: 0.763 0.237 0.763  -0.01
Cl: 0.763 0.237 0.237  -0.01
Cl: 0.237 0.237 0.763  -0.01
K: 0.750 0.750 0.750  0.00
K: 0.500 0.500 0.500  0.00
K: 0.250 0.250 0.250  0.00
Gd: 0.000 0.000 0.000  6.98

=====

# 11
First-principles (SCAN) data for a crystal of LaGd3Cl4O4 relaxed with PBEsol, as listed in Alexandria via LeMat-Bulk.

Properties
space group = Amm2 (38)
formation energy (no corrections) = -3369.9 meV per atom

Unit cell a=3.942 b=7.881 c=7.786 alpha=120.40 beta=90.00 gamma=90.00
Last column: magnetic moment on the atom in μB.
Atoms (fractional coordinates):
Cl: 0.000 0.066 0.133  -0.01
Cl: 0.500 0.193 0.873  -0.01
Cl: 0.000 0.565 0.130  -0.02
Cl: 0.500 0.680 0.873  -0.01
O: 0.500 0.249 0.498  -0.05
O: 0.000 0.003 0.496  -0.04
O: 0.500 0.747 0.494  -0.03
O: 0.000 0.494 0.496  -0.04
La: 0.000 0.841 0.682  0.00
Gd: 0.500 0.414 0.328  6.97
Gd: 0.500 0.914 0.328  6.97
Gd: 0.000 0.334 0.667  6.97

=====

# 12
First-principles (SCAN) data for a crystal of Rb2LiGdCl6 relaxed with PBEsol, as listed in Alexandria via LeMat-Bulk.

Properties
space group = Fm-3m (225)
formation energy (no corrections) = -2321.8 meV per atom

Unit cell a=7.277 b=7.277 c=7.277 alpha=60.00 beta=60.00 gamma=60.00
Last column: magnetic moment on the atom in μB.
Atoms (fractional coordinates):
Cl: 0.245 0.245 0.755  -0.01
Cl: 0.245 0.755 0.245  -0.01
Cl: 0.245 0.755 0.755  -0.01
Cl: 0.755 0.245 0.755  -0.01
Cl: 0.755 0.755 0.245  -0.01
Cl: 0.755 0.245 0.245  -0.01
Rb: 0.250 0.250 0.250  0.00
Rb: 0.750 0.750 0.750  0.00
Gd: 0.500 0.500 0.500  6.98
Li: 0.000 0.000 0.000  0.00

=====

# 13
First-principles (SCAN) data for a crystal of Na2GdCl5 relaxed with PBEsol, as listed in Alexandria via LeMat-Bulk.

Properties
space group = Pnma (62)
formation energy (no corrections) = -2261.5 meV per atom

Unit cell a=7.583 b=8.190 c=11.853 alpha=90.00 beta=90.00 gamma=90.00
Last column: magnetic moment on the atom in μB.
Atoms (fractional coordinates):
Cl: 0.856 0.250 0.681  -0.01
Cl: 0.356 0.750 0.819  -0.01
Cl: 0.058 0.250 0.008  -0.02
Cl: 0.942 0.750 0.992  -0.02
Cl: 0.442 0.250 0.508  -0.02
Cl: 0.644 0.250 0.181  -0.01
Cl: 0.663 0.454 0.911  -0.02
Cl: 0.337 0.546 0.089  -0.02
Cl: 0.163 0.954 0.589  -0.02
Cl: 0.144 0.750 0.319  -0.01
Cl: 0.558 0.750 0.492  -0.02
Cl: 0.163 0.546 0.589  -0.02
Cl: 0.184 0.250 0.288  -0.02
Cl: 0.837 0.046 0.411  -0.02
Cl: 0.337 0.954 0.089  -0.02
Cl: 0.684 0.750 0.212  -0.02
Cl: 0.837 0.454 0.411  -0.02
Cl: 0.816 0.750 0.712  -0.02
Cl: 0.663 0.046 0.911  -0.02
Cl: 0.316 0.250 0.788  -0.02
Gd: 0.583 0.750 0.992  6.99
Gd: 0.417 0.250 0.008  6.99
Gd: 0.083 0.250 0.508  6.99
Gd: 0.917 0.750 0.492  6.99
Na: 0.970 0.501 0.176  0.00
Na: 0.470 0.001 0.324  0.00
Na: 0.030 0.499 0.824  0.00
Na: 0.530 0.501 0.676  0.00
Na: 0.970 0.999 0.176  0.00
Na: 0.470 0.499 0.324  0.00
Na: 0.030 0.001 0.824  0.00
Na: 0.530 0.999 0.676  0.00

=====

# 14
First-principles (SCAN) data for a crystal of Rb2NaGdCl6 relaxed with PBEsol, as listed in Alexandria via LeMat-Bulk.

Properties
space group = Fm-3m (225)
formation energy (no corrections) = -2317.7 meV per atom

Unit cell a=7.510 b=7.510 c=7.510 alpha=60.00 beta=60.00 gamma=60.00
Last column: magnetic moment on the atom in μB.
Atoms (fractional coordinates):
Na: 0.500 0.500 0.500  0.00
Rb: 0.250 0.250 0.250  0.00
Rb: 0.750 0.750 0.750  0.00
Cl: 0.247 0.753 0.247  -0.01
Cl: 0.247 0.247 0.753  -0.01
Cl: 0.753 0.247 0.247  -0.01
Cl: 0.753 0.753 0.247  -0.01
Cl: 0.753 0.247 0.753  -0.01
Cl: 0.247 0.753 0.753  -0.01
Gd: 0.000 0.000 0.000  6.98

=====

# 15
First-principles (SCAN) data for a crystal of GdClO relaxed with PBEsol, as listed in Alexandria via LeMat-Bulk.

Properties
space group = P4/nmm (129)
formation energy (no corrections) = -3331.4 meV per atom

Unit cell a=3.901 b=3.901 c=6.647 alpha=90.00 beta=90.00 gamma=90.00
Last column: magnetic moment on the atom in μB.
Atoms (fractional coordinates):
Cl: 0.500 0.000 0.628  -0.02
Cl: 0.000 0.500 0.372  -0.02
O: 0.000 0.000 0.000  -0.05
O: 0.500 0.500 0.000  -0.05
Gd: 0.000 0.500 0.827  6.97
Gd: 0.500 0.000 0.173  6.97

=====

# 16
First-principles (SCAN) data for a crystal of GdSeClO3 relaxed with PBEsol, as listed in Alexandria via LeMat-Bulk.

Properties
space group = Pnma (62)
formation energy (no corrections) = -2182.4 meV per atom

Unit cell a=7.024 b=7.181 c=8.874 alpha=90.00 beta=90.00 gamma=90.00
Last column: magnetic moment on the atom in μB.
Atoms (fractional coordinates):
O: 0.250 0.251 0.681  -0.02
O: 0.427 0.854 0.567  -0.02
O: 0.750 0.749 0.319  -0.02
O: 0.250 0.751 0.819  -0.02
O: 0.073 0.354 0.933  -0.02
O: 0.073 0.854 0.567  -0.02
O: 0.927 0.146 0.433  -0.02
O: 0.573 0.646 0.067  -0.02
O: 0.750 0.249 0.181  -0.02
O: 0.927 0.646 0.067  -0.02
O: 0.573 0.146 0.433  -0.02
O: 0.427 0.354 0.933  -0.02
Se: 0.750 0.295 0.368  0.00
Se: 0.250 0.705 0.632  0.00
Se: 0.250 0.205 0.868  0.00
Se: 0.750 0.795 0.132  0.00
Gd: 0.750 0.894 0.541  6.97
Gd: 0.250 0.606 0.041  6.97
Gd: 0.250 0.106 0.459  6.97
Gd: 0.750 0.394 0.959  6.97
Cl: 0.250 0.949 0.178  -0.02
Cl: 0.250 0.449 0.322  -0.02
Cl: 0.750 0.051 0.822  -0.02
Cl: 0.750 0.551 0.678  -0.02

=====

# 17
First-principles (SCAN) data for a crystal of GdTe2ClO5 relaxed with PBEsol, as listed in Alexandria via LeMat-Bulk.

Properties
space group = P4/mmm (123)
formation energy (no corrections) = -1776.6 meV per atom

Unit cell a=3.888 b=3.888 c=8.329 alpha=90.00 beta=90.00 gamma=90.00
Last column: magnetic moment on the atom in μB.
Atoms (fractional coordinates):
O: 0.500 0.000 0.182  -0.01
O: 0.000 0.500 0.182  -0.01
O: 0.500 0.500 0.000  -0.01
O: 0.500 0.000 0.818  -0.01
O: 0.000 0.500 0.818  -0.01
Te: 0.500 0.500 0.736  0.00
Te: 0.500 0.500 0.264  0.00
Cl: 0.000 0.000 0.500  0.00
Gd: 0.000 0.000 0.000  6.97

=====

# 18
First-principles (SCAN) data for a crystal of GdWClO4 relaxed with PBEsol, as listed in Alexandria via LeMat-Bulk.

Properties
space group = C2/m (12)
formation energy (no corrections) = -2746.5 meV per atom

Unit cell a=6.333 b=6.333 c=6.873 alpha=75.62 beta=75.62 gamma=70.90
Last column: magnetic moment on the atom in μB.
Atoms (fractional coordinates):
O: 0.892 0.511 0.844  -0.01
O: 0.703 0.703 0.466  -0.01
O: 0.297 0.297 0.534  -0.01
O: 0.511 0.892 0.844  -0.01
O: 0.544 0.544 0.191  -0.01
O: 0.108 0.489 0.156  -0.01
O: 0.489 0.108 0.156  -0.01
O: 0.456 0.456 0.809  -0.01
Cl: 0.008 0.008 0.236  -0.03
Cl: 0.992 0.992 0.764  -0.03
Gd: 0.779 0.779 0.112  6.97
Gd: 0.221 0.221 0.888  6.97
W: 0.637 0.637 0.735  0.00
W: 0.363 0.363 0.265  0.00

=====

# 19
First-principles (SCAN) data for a crystal of Gd3WCl3O6 relaxed with PBEsol, as listed in Alexandria via LeMat-Bulk.

Properties
space group = P6_3/m (176)
formation energy (no corrections) = -3029.8 meV per atom

Unit cell a=5.235 b=9.065 c=9.065 alpha=120.00 beta=90.00 gamma=90.00
Last column: magnetic moment on the atom in μB.
Atoms (fractional coordinates):
Cl: 0.750 0.950 0.760  -0.02
Cl: 0.250 0.050 0.240  -0.02
Cl: 0.750 0.809 0.050  -0.02
Cl: 0.750 0.240 0.191  -0.02
Cl: 0.250 0.760 0.809  -0.02
Cl: 0.250 0.191 0.950  -0.02
Gd: 0.750 0.314 0.909  6.97
Gd: 0.750 0.595 0.686  6.97
Gd: 0.750 0.091 0.405  6.97
Gd: 0.250 0.909 0.595  6.97
Gd: 0.250 0.405 0.314  6.97
Gd: 0.250 0.686 0.091  6.97
O: 0.987 0.843 0.364  -0.02
O: 0.987 0.521 0.157  -0.02
O: 0.513 0.521 0.157  -0.02
O: 0.987 0.636 0.479  -0.02
O: 0.513 0.636 0.479  -0.02
O: 0.487 0.364 0.521  -0.02
O: 0.013 0.157 0.636  -0.02
O: 0.013 0.479 0.843  -0.02
O: 0.013 0.364 0.521  -0.02
O: 0.513 0.843 0.364  -0.02
O: 0.487 0.157 0.636  -0.02
O: 0.487 0.479 0.843  -0.02
W: 0.750 0.667 0.333  0.00
W: 0.250 0.333 0.667  0.00

=====

# 20
First-principles (SCAN) data for a crystal of Rb3GdCl6 relaxed with PBEsol, as listed in Alexandria via LeMat-Bulk.

Properties
space group = Fm-3m (225)
formation energy (no corrections) = -2281.4 meV per atom

Unit cell a=8.014 b=8.014 c=8.014 alpha=60.00 beta=60.00 gamma=60.00
Last column: magnetic moment on the atom in μB.
Atoms (fractional coordinates):
Rb: 0.500 0.500 0.500  0.00
Rb: 0.250 0.250 0.250  0.00
Rb: 0.750 0.750 0.750  0.00
Cl: 0.232 0.768 0.768  -0.01
Cl: 0.232 0.768 0.232  -0.01
Cl: 0.768 0.232 0.232  -0.01
Cl: 0.232 0.232 0.768  -0.01
Cl: 0.768 0.768 0.232  -0.01
Cl: 0.768 0.232 0.768  -0.01
Gd: 0.000 0.000 0.000  6.98

=====

# 21
First-principles (SCAN) data for a crystal of GeCl4 relaxed with PBEsol, as listed in Alexandria via LeMat-Bulk.

Properties
space group = P2_1/c (14)
formation energy (no corrections) = -982.9 meV per atom

Unit cell a=6.633 b=10.037 c=10.153 alpha=105.73 beta=90.00 gamma=90.00
Atoms (fractional coordinates):
Cl: 0.875 0.808 0.405
Cl: 0.576 0.295 0.482
Cl: 0.125 0.192 0.595
Cl: 0.423 0.914 0.298
Cl: 0.424 0.705 0.518
Cl: 0.625 0.808 0.905
Cl: 0.077 0.914 0.798
Cl: 0.076 0.705 0.018
Cl: 0.577 0.086 0.702
Cl: 0.569 0.571 0.181
Cl: 0.375 0.192 0.095
Cl: 0.923 0.086 0.202
Cl: 0.931 0.571 0.681
Cl: 0.431 0.429 0.819
Cl: 0.924 0.295 0.982
Cl: 0.069 0.429 0.319
Ge: 0.573 0.749 0.350
Ge: 0.927 0.749 0.850
Ge: 0.073 0.251 0.150
Ge: 0.427 0.251 0.650

=====

Total energy values, unit eV/atom, following the record order: -21.6263, -18.2567, -21.2960, -18.4898, -24.5306, -11.6272, -17.0084, -17.0507, -16.6082, -15.4218, -26.4023, -17.3769, -15.6534, -17.5553, -27.6730, -19.7767, -20.9379, -25.8046, -26.6803, -19.1715, -11.1828.